Below is crystalline Cs2Mn2Mo3O12 at its relaxed geometry, with properties calculated at the PBE+U level.

## Properties
- Raw total energy: -6.93 eV/atom

a b c (Å): 11.288 11.288 11.288
angles (deg): 90.00 90.00 90.00
Space group P2_13 (No. 198)
Unique sites:
Cs 0.048 0.048 0.048 (multiplicity 4)
Cs 0.178 0.322 0.678 (multiplicity 4)
Mn 0.112 0.888 0.388 (multiplicity 4)
Mn 0.162 0.662 0.838 (multiplicity 4)
Mo 0.026 0.203 0.377 (multiplicity 12)
O 0.015 0.551 0.778 (multiplicity 12)
O 0.024 0.051 0.328 (multiplicity 12)
O 0.051 0.791 0.231 (multiplicity 12)
O 0.103 0.826 0.755 (multiplicity 12)